This record from Alexandria via LeMat-Bulk describes an optimized crystal structure of Sc2P2Rh. The functional is PBE-GGA.

Properties
For the size of the total moment, the calculation gives 0.00 μB/cell. Its volume is 78.3 Å³/f.u. As for the formation energy: -1.1989 eV/atom.

a b c (Å): 6.310 6.310 3.932
angles (deg): 90.00 90.00 90.00
Fractional coordinates of all 10 atoms:
P1 0.370 0.870 0.000
P2 0.630 0.130 0.000
P3 0.870 0.630 0.000
P4 0.130 0.370 0.000
Sc1 0.174 0.674 0.500
Sc2 0.674 0.826 0.500
Sc3 0.326 0.174 0.500
Sc4 0.826 0.326 0.500
Rh1 0.000 0.000 0.000
Rh2 0.500 0.500 0.000